LiNbHS | PBE-GGA | relaxed

Unit cell a=3.1906 b=3.1907 c=6.4451 alpha=89.81 beta=75.76 gamma=60.03
Space group P1 (No. 1)
Symmetry-distinct sites (fractional):
Li1 0.0000 0.0000 0.0000 [1 per cell]
Nb1 0.3500 0.8289 0.4674 [1 per cell]
H1 0.7884 0.1104 0.3070 [1 per cell]
S1 0.5080 0.2482 0.7341 [1 per cell]

Polymorph energy (0 for the lowest one) in meV/atom: 59
Total moment in μB per cell: 0.0

---

LiNbHS | PBE-GGA | relaxed

Unit cell a=10.9372 b=3.2008 c=3.1265 alpha=90.00 beta=90.47 gamma=90.00
Space group Cm (No. 8)
Symmetry-distinct sites (fractional):
Li1 0.0000 0.0000 0.0000 [2 per cell]
Nb1 0.2864 0.0000 0.4959 [2 per cell]
H1 0.3988 0.0000 0.9996 [2 per cell]
S1 0.1796 0.5000 0.9929 [2 per cell]

Polymorph energy (0 for the lowest one) in meV/atom: 76
Total moment in μB per cell: 0.8

---

LiNbHS | PBE-GGA | relaxed

Unit cell a=3.2091 b=3.2091 c=17.7908 alpha=90.00 beta=90.00 gamma=120.00
Space group R3m (No. 160, hexagonal axes)
Symmetry-distinct sites (fractional):
Li1 0.0000 0.0000 0.0000 [3 per cell]
Nb1 0.0000 0.0000 0.8134 [3 per cell]
H1 0.0000 0.0000 0.4268 [3 per cell]
S1 0.0000 0.0000 0.2382 [3 per cell]

Polymorph energy (0 for the lowest one) in meV/atom: 0
Total moment in μB per cell: 1.2

---

LiNbHS | PBE-GGA | relaxed

Unit cell a=3.1784 b=3.1784 c=6.0344 alpha=90.00 beta=90.00 gamma=120.00
Space group P3m1 (No. 156)
Symmetry-distinct sites (fractional):
Li1 0.0000 0.0000 0.0000 [1 per cell]
Nb1 0.6667 0.3333 0.4295 [1 per cell]
H1 0.3333 0.6667 0.2479 [1 per cell]
S1 0.3333 0.6667 0.7043 [1 per cell]

Polymorph energy (0 for the lowest one) in meV/atom: 67
Total moment in μB per cell: 0.6

---

LiNbHS | PBE-GGA | relaxed

Unit cell a=3.2079 b=3.7259 c=4.6437 alpha=90.00 beta=110.21 gamma=90.00
Space group Pm (No. 6)
Symmetry-distinct sites (fractional):
Li1 0.0000 0.0000 0.0000 [1 per cell]
Nb1 0.2757 0.5000 0.5532 [1 per cell]
H1 0.2133 0.0000 0.4647 [1 per cell]
S1 0.5581 0.5000 0.1226 [1 per cell]

Polymorph energy (0 for the lowest one) in meV/atom: 140
Total moment in μB per cell: 0.0

---

LiNbHS | PBE-GGA | relaxed

Unit cell a=5.5687 b=3.2079 c=6.1067 alpha=90.00 beta=90.36 gamma=90.00
Space group Cm (No. 8)
Symmetry-distinct sites (fractional):
Li1 0.0000 0.0000 0.0000 [2 per cell]
Nb1 0.1623 0.5000 0.4538 [2 per cell]
H1 0.4943 0.5000 0.3133 [2 per cell]
S1 0.3311 0.0000 0.7227 [2 per cell]

Polymorph energy (0 for the lowest one) in meV/atom: 31
Total moment in μB per cell: 0.6

---

LiNbHS | PBE-GGA | relaxed

Unit cell a=5.8173 b=3.0788 c=6.0916 alpha=90.00 beta=103.92 gamma=90.00
Space group Cm (No. 8)
Symmetry-distinct sites (fractional):
Li1 0.0000 0.0000 0.0000 [2 per cell]
Nb1 0.1472 0.0000 0.5516 [2 per cell]
H1 0.1949 0.5000 0.7742 [2 per cell]
S1 0.3975 0.0000 0.2795 [2 per cell]

Polymorph energy (0 for the lowest one) in meV/atom: 34
Total moment in μB per cell: 0.0

---

LiNbHS | PBE-GGA | relaxed

Unit cell a=3.2202 b=3.2202 c=18.0914 alpha=90.00 beta=90.00 gamma=120.00
Space group R3m (No. 160, hexagonal axes)
Symmetry-distinct sites (fractional):
Li1 0.0000 0.0000 0.0000 [3 per cell]
Nb1 0.0000 0.0000 0.1793 [3 per cell]
H1 0.0000 0.0000 0.8940 [3 per cell]
S1 0.0000 0.0000 0.4228 [3 per cell]

Polymorph energy (0 for the lowest one) in meV/atom: 3
Total moment in μB per cell: 0.0

---

Li2NbSbH | PBE-GGA | relaxed

Unit cell a=4.0820 b=4.0820 c=4.1653 alpha=90.00 beta=90.00 gamma=90.00
Space group P4/mmm (No. 123)
Symmetry-distinct sites (fractional):
Li1 0.0000 0.5000 0.0000 [2 per cell]
Nb1 0.0000 0.0000 0.5000 [1 per cell]
Sb1 0.5000 0.5000 0.5000 [1 per cell]
H1 0.0000 0.0000 0.0000 [1 per cell]

Calculated total energy in eV/cell: -22.6
Total moment in μB per cell: 0.0

---

Li2NbSnH | PBE-GGA | relaxed

Unit cell a=4.0623 b=4.0623 c=4.1906 alpha=90.00 beta=90.00 gamma=90.00
Space group P4/mmm (No. 123)
Symmetry-distinct sites (fractional):
Li1 0.0000 0.5000 0.0000 [2 per cell]
Nb1 0.0000 0.0000 0.5000 [1 per cell]
Sn1 0.5000 0.5000 0.5000 [1 per cell]
H1 0.0000 0.0000 0.0000 [1 per cell]

Calculated total energy in eV/cell: -22.3
Total moment in μB per cell: 0.0

---

LiNb2ZnH | PBE-GGA | relaxed

Unit cell a=4.0555 b=4.0555 c=4.0082 alpha=90.00 beta=90.00 gamma=90.00
Space group P4/mmm (No. 123)
Symmetry-distinct sites (fractional):
Li1 0.0000 0.0000 0.0000 [1 per cell]
Nb1 0.0000 0.5000 0.5000 [2 per cell]
Zn1 0.5000 0.5000 0.0000 [1 per cell]
H1 0.0000 0.0000 0.5000 [1 per cell]

Calculated total energy in eV/cell: -26.9
Total moment in μB per cell: 0.0

---

LiNdH | PBE-GGA | relaxed

Unit cell a=3.6214 b=3.6214 c=8.2253 alpha=90.00 beta=90.00 gamma=90.00
Space group P4/nmm (No. 129, origin choice 2)
Symmetry-distinct sites (fractional):
Li1 0.2500 0.2500 0.0834 [2 per cell]
Nd1 0.2500 0.2500 0.6503 [2 per cell]
H1 0.2500 0.2500 0.3464 [2 per cell]

Polymorph energy (0 for the lowest one) in meV/atom: 0
Total moment in μB per cell: 0.0

---

LiNd3H | PBE-GGA | relaxed

Unit cell a=5.0534 b=5.0534 c=5.0534 alpha=90.00 beta=90.00 gamma=90.00
Space group Pm-3m (No. 221)
Symmetry-distinct sites (fractional):
Li1 0.0000 0.0000 0.0000 [1 per cell]
Nd1 0.0000 0.5000 0.5000 [3 per cell]
H1 0.5000 0.5000 0.5000 [1 per cell]

Calculated total energy in eV/cell: -19.8
Total moment in μB per cell: 0.0

---

LiNdH | PBE-GGA | relaxed

Unit cell a=3.4163 b=3.4163 c=5.8586 alpha=90.00 beta=90.00 gamma=120.00
Space group P3m1 (No. 156)
Symmetry-distinct sites (fractional):
Li1 0.0000 0.0000 0.0000 [1 per cell]
Nd1 0.6667 0.3333 0.5258 [1 per cell]
H1 0.3333 0.6667 0.7615 [1 per cell]

Polymorph energy (0 for the lowest one) in meV/atom: 165
Total moment in μB per cell: 0.0

---

LiNdH4 | PBE-GGA | relaxed

Unit cell a=5.3602 b=5.3602 c=5.0965 alpha=90.00 beta=90.12 gamma=90.00
Space group C2/m (No. 12)
Symmetry-distinct sites (fractional):
Li1 0.0000 0.0000 0.0000 [2 per cell]
Nd1 0.0000 0.5000 0.5000 [2 per cell]
H1 0.2495 0.2499 0.2415 [8 per cell]

Calculated total energy in eV/cell: -44.0
Total moment in μB per cell: 0.0

---

LiNd3H3 | PBE-GGA | relaxed

Unit cell a=6.6218 b=6.6218 c=6.6218 alpha=90.00 beta=90.00 gamma=90.00
Space group Pm-3n (No. 223)
Symmetry-distinct sites (fractional):
Li1 0.0000 0.0000 0.0000 [2 per cell]
Nd1 0.0000 0.2500 0.5000 [6 per cell]
H1 0.0000 0.5000 0.2500 [6 per cell]

Calculated total energy in eV/cell: -55.5
Total moment in μB per cell: 4.7

---

Li3Nd12H5 | PBE-GGA | relaxed

Unit cell a=15.9835 b=15.9835 c=15.9835 alpha=90.00 beta=90.00 gamma=90.00
Space group Ia-3d (No. 230)
Symmetry-distinct sites (fractional):
Li1 0.0000 0.2500 0.1250 [24 per cell]
Nd1 0.0421 0.0556 0.6499 [96 per cell]
H1 0.0000 0.0000 0.0000 [16 per cell]
H2 0.0000 0.2500 0.3750 [24 per cell]

Calculated total energy in eV/cell: -649.5
Total moment in μB per cell: 0.0

---

Li5Nd3H12 | PBE-GGA | relaxed

Unit cell a=12.2758 b=12.2758 c=12.2758 alpha=90.00 beta=90.00 gamma=90.00
Space group Ia-3d (No. 230)
Symmetry-distinct sites (fractional):
Li1 0.0000 0.0000 0.0000 [16 per cell]
Li2 0.0000 0.2500 0.3750 [24 per cell]
Nd1 0.0000 0.2500 0.1250 [24 per cell]
H1 0.0275 0.0602 0.6535 [96 per cell]

Calculated total energy in eV/cell: -581.5
Total moment in μB per cell: 0.0